Entry 1:
A relaxed MnCdTc2 crystal. Source: the Alexandria database, functional GGA-PBE.

abc: 6.3145 6.3145 6.3145
angles: 90.00 90.00 90.00
Space group F-43m (No. 216)
One atom of each set of equivalent atoms:
Mn 0.0000 0.0000 0.0000 [4 per cell]
Cd 0.2500 0.2500 0.2500 [4 per cell]
Tc 0.0000 0.0000 0.5000 [4 per cell]
Tc 0.2500 0.2500 0.7500 [4 per cell]

## Properties
- Formation enthalpy at 0 K: 420 meV per atom
- E: -116.6 eV for the cell shown

=====

Entry 2:
A relaxed Ba3Zr2Se2O5 crystal. Source: the Alexandria database, functional GGA-PBE.

abc: 4.3617 4.3617 25.0721
angles: 90.00 90.00 90.00
Space group I4/mmm (No. 139)
One atom of each set of equivalent atoms:
Ba 0.0000 0.0000 0.0000 [2 per cell]
Ba 0.0000 0.0000 0.1687 [4 per cell]
Zr 0.0000 0.0000 0.4171 [4 per cell]
Se 0.0000 0.0000 0.3056 [4 per cell]
O 0.0000 0.0000 0.5000 [2 per cell]
O 0.0000 0.5000 0.0821 [8 per cell]

## Properties
- E: -175.6 eV for the cell shown
- ΔE_f (raw): -3200 kJ/mol of formula units

=====

Entry 3:
A relaxed LiTc2Pb crystal. Source: the Alexandria database, functional GGA-PBE.

abc: 2.9933 2.9933 26.9791
angles: 90.00 90.00 120.00
Space group R-3m (No. 166, hexagonal axes)
One atom of each set of equivalent atoms:
Li 0.0000 0.0000 0.0000 [3 per cell]
Tc 0.0000 0.0000 0.2506 [6 per cell]
Pb 0.0000 0.0000 0.5000 [3 per cell]

## Properties
- Formation enthalpy at 0 K: 862 meV per atom
- E: -68.7 eV for the cell shown

=====

Entry 4:
A relaxed ThAlInPd3 crystal. Source: the Alexandria database, functional GGA-PBE.

abc: 6.8551 12.2600 6.0421
angles: 90.00 90.00 90.00
Space group Cmcm (No. 63)
One atom of each set of equivalent atoms:
Th 0.0000 0.1858 0.2500 [4 per cell]
Al 0.0000 0.1250 0.7500 [4 per cell]
In 0.0000 0.4406 0.2500 [4 per cell]
Pd 0.0000 0.3256 0.7500 [4 per cell]
Pd 0.1999 0.0000 0.0000 [8 per cell]

## Properties
- Formation enthalpy at 0 K: -514 meV per atom
- E: -130.3 eV for the cell shown